TbInRh | PBE | optimized geometry

Lattice parameters (Å, degrees): 7.5637 7.5637 3.9156 90.00 90.00 120.00
Last column: nearest neighbours and their distance in Å.
Sites, in units of the cell vectors:
1 Tb 0.0000 0.5944 0.5000  5 Rh 3.02-3.07, 6 In 3.22-3.33
2 Tb 0.4056 0.4056 0.5000  5 Rh 3.02-3.07, 6 In 3.22-3.33
3 Tb 0.5944 0.0000 0.5000  5 Rh 3.02-3.07, 6 In 3.22-3.33
4 In 0.7428 0.7428 0.0000  4 Rh 2.76-2.85
5 In 0.0000 0.2572 0.0000  4 Rh 2.76-2.85
6 In 0.2572 0.0000 0.0000  4 Rh 2.76-2.85
7 Rh 0.3333 0.6667 0.0000  3 In 2.85, 6 Tb 3.02
8 Rh 0.0000 0.0000 0.5000  6 In 2.76, 3 Tb 3.07
9 Rh 0.6667 0.3333 0.0000  3 In 2.85, 6 Tb 3.02

Total energy ... -50.983 eV/cell
ΔH_f (0 K) ... -758.0 meV per atom